VASP calculation (PBE) on a relaxed structure of La2ScFe.

Output
density of states at the Fermi level = 5.60 states/eV per cell
space group = No. 44
energy of formation = 0.1470 eV/atom
energy above the most stable polymorph in this dataset = 31 meV/atom
total moment = 0.229 μB per formula unit
electronic total energy = -24.06 eV per cell

The structure in CIF format:
```
data_La2ScFe
_chemical_formula_sum 'La2 Sc1 Fe1'
_cell_length_a 6.3867
_cell_length_b 6.3867
_cell_length_c 6.3867
_cell_angle_alpha 147.99
_cell_angle_beta 129.73
_cell_angle_gamma 60.85
_space_group_name_H-M_alt 'P 1'
_space_group_IT_number 1
loop_
_space_group_symop_operation_xyz
'x,y,z'
loop_
_atom_site_label
_atom_site_type_symbol
_atom_site_fract_x
_atom_site_fract_y
_atom_site_fract_z
Fe1 Fe 0.2609 0.7609 0.5000
La1 La 0.0603 0.0603 0.0000
La2 La 0.7478 0.2478 0.5000
Sc1 Sc 0.4311 0.4311 0.0000
```

=====

VASP calculation (PBE) on a relaxed structure of CaMn2W.

Output
density of states at the Fermi level = 5.25 states/eV per cell
space group = No. 47
energy of formation = 0.6931 eV/atom
energy above the most stable polymorph in this dataset = 304 meV/atom
total moment = 4.406 μB per formula unit
electronic total energy = -30.52 eV per cell

The structure in CIF format:
```
data_CaMn2W
_chemical_formula_sum 'Ca1 Mn2 W1'
_cell_length_a 4.7152
_cell_length_b 4.7445
_cell_length_c 2.9365
_cell_angle_alpha 90.00
_cell_angle_beta 90.00
_cell_angle_gamma 90.00
_space_group_name_H-M_alt 'P 1'
_space_group_IT_number 1
loop_
_space_group_symop_operation_xyz
'x,y,z'
loop_
_atom_site_label
_atom_site_type_symbol
_atom_site_fract_x
_atom_site_fract_y
_atom_site_fract_z
Ca1 Ca 0.0000 0.5000 0.5000
Mn1 Mn 0.0000 0.0000 0.0000
Mn2 Mn 0.5000 0.5000 0.0000
W1 W 0.5000 0.0000 0.5000
```

=====

VASP calculation (PBE) on a relaxed structure of BaZr2Co.

Output
density of states at the Fermi level = 6.31 states/eV per cell
space group = No. 65
energy of formation = 0.8781 eV/atom
energy above the most stable polymorph in this dataset = 717 meV/atom
total moment = 0.992 μB per formula unit
electronic total energy = -22.61 eV per cell

The structure in CIF format:
```
data_BaZr2Co
_chemical_formula_sum 'Ba1 Zr2 Co1'
_cell_length_a 5.8647
_cell_length_b 5.8647
_cell_length_c 3.1996
_cell_angle_alpha 90.00
_cell_angle_beta 90.00
_cell_angle_gamma 121.65
_space_group_name_H-M_alt 'P 1'
_space_group_IT_number 1
loop_
_space_group_symop_operation_xyz
'x,y,z'
loop_
_atom_site_label
_atom_site_type_symbol
_atom_site_fract_x
_atom_site_fract_y
_atom_site_fract_z
Ba1 Ba 0.5000 0.0000 0.5000
Co1 Co 0.0000 0.5000 0.5000
Zr1 Zr 0.0000 0.0000 0.0000
Zr2 Zr 0.5000 0.5000 0.0000
```

=====

VASP calculation (PBE) on a relaxed structure of Ca2La3NbN6.

Output
space group = No. 12
total moment = 0.000 μB per formula unit
formation energy from raw total energies = -1.159 eV/atom
electronic total energy = -92.71 eV per cell

The structure in CIF format:
```
data_Ca2La3NbN6
_chemical_formula_sum 'Ca2 La3 Nb1 N6'
_cell_length_a 6.1853
_cell_length_b 6.1853
_cell_length_c 6.0809
_cell_angle_alpha 99.56
_cell_angle_beta 99.56
_cell_angle_gamma 120.05
_space_group_name_H-M_alt 'P 1'
_space_group_IT_number 1
loop_
_space_group_symop_operation_xyz
'x,y,z'
loop_
_atom_site_label
_atom_site_type_symbol
_atom_site_fract_x
_atom_site_fract_y
_atom_site_fract_z
Ca1 Ca 0.3335 0.6665 0.0000
Ca2 Ca 0.6665 0.3335 0.0000
La1 La 0.1649 0.8351 0.5000
La2 La 0.8351 0.1649 0.5000
La3 La 0.5000 0.5000 0.5000
Nb1 Nb 0.0000 0.0000 0.0000
N1 N 0.9249 0.6359 0.7741
N2 N 0.7818 0.7818 0.2376
N3 N 0.0751 0.3641 0.2259
N4 N 0.6359 0.9249 0.7741
N5 N 0.2182 0.2182 0.7624
N6 N 0.3641 0.0751 0.2259
```

=====

VASP calculation (PBE) on a relaxed structure of LaP2RhCl.

Output
density of states at the Fermi level = 4.36 states/eV per cell
space group = No. 123
energy above the most stable polymorph in this dataset = 0 meV/atom
total moment = 0.000 μB per formula unit
formation energy from raw total energies = -0.586 eV/atom
electronic total energy = -27.87 eV per cell

The structure in CIF format:
```
data_LaP2RhCl
_chemical_formula_sum 'La1 P2 Rh1 Cl1'
_cell_length_a 4.6033
_cell_length_b 4.6033
_cell_length_c 5.0092
_cell_angle_alpha 90.00
_cell_angle_beta 90.00
_cell_angle_gamma 90.00
_space_group_name_H-M_alt 'P 1'
_space_group_IT_number 1
loop_
_space_group_symop_operation_xyz
'x,y,z'
loop_
_atom_site_label
_atom_site_type_symbol
_atom_site_fract_x
_atom_site_fract_y
_atom_site_fract_z
P1 P 0.0000 0.5000 0.0000
P2 P 0.5000 0.0000 0.0000
Cl1 Cl 0.0000 0.0000 0.5000
Rh1 Rh 0.0000 0.0000 0.0000
La1 La 0.5000 0.5000 0.5000
```

=====

VASP calculation (PBE) on a relaxed structure of CuReSn3.

Output
density of states at the Fermi level = 0.00 states/eV per cell
space group = No. 221
energy of formation = 0.5687 eV/atom
energy above the most stable polymorph in this dataset = 0 meV/atom
total moment = 0.000 μB per formula unit
electronic total energy = -25.71 eV per cell

The structure in CIF format:
```
data_CuReSn3
_chemical_formula_sum 'Cu1 Re1 Sn3'
_cell_length_a 5.1877
_cell_length_b 5.1877
_cell_length_c 5.1877
_cell_angle_alpha 90.00
_cell_angle_beta 90.00
_cell_angle_gamma 90.00
_space_group_name_H-M_alt 'P 1'
_space_group_IT_number 1
loop_
_space_group_symop_operation_xyz
'x,y,z'
loop_
_atom_site_label
_atom_site_type_symbol
_atom_site_fract_x
_atom_site_fract_y
_atom_site_fract_z
Re1 Re 0.0000 0.0000 0.0000
Sn1 Sn 0.0000 0.5000 0.0000
Sn2 Sn 0.0000 0.0000 0.5000
Sn3 Sn 0.5000 0.0000 0.0000
Cu1 Cu 0.5000 0.5000 0.5000
```

=====

VASP calculation (PBE) on a relaxed structure of ScPd3Se.

Output
density of states at the Fermi level = 2.01 states/eV per cell
space group = No. 221
energy above the most stable polymorph in this dataset = 589 meV/atom
total moment = 0.000 μB per formula unit
formation energy from raw total energies = 0.413 eV/atom
electronic total energy = -23.33 eV per cell

The structure in CIF format:
```
data_ScPd3Se
_chemical_formula_sum 'Sc1 Pd3 Se1'
_cell_length_a 4.7831
_cell_length_b 4.7831
_cell_length_c 4.7831
_cell_angle_alpha 90.00
_cell_angle_beta 90.00
_cell_angle_gamma 90.00
_space_group_name_H-M_alt 'P 1'
_space_group_IT_number 1
loop_
_space_group_symop_operation_xyz
'x,y,z'
loop_
_atom_site_label
_atom_site_type_symbol
_atom_site_fract_x
_atom_site_fract_y
_atom_site_fract_z
Sc1 Sc 0.0000 0.0000 0.0000
Se1 Se 0.5000 0.5000 0.5000
Pd1 Pd 0.0000 0.5000 0.0000
Pd2 Pd 0.0000 0.0000 0.5000
Pd3 Pd 0.5000 0.0000 0.0000
```

=====

VASP calculation (PBE) on a relaxed structure of TcAg2W.

Output
density of states at the Fermi level = 2.83 states/eV per cell
space group = No. 139
energy of formation = 0.5755 eV/atom
energy above the most stable polymorph in this dataset = 253 meV/atom
total moment = 0.000 μB per formula unit
electronic total energy = -26.72 eV per cell

The structure in CIF format:
```
data_TcAg2W
_chemical_formula_sum 'Tc1 Ag2 W1'
_cell_length_a 5.2916
_cell_length_b 5.2916
_cell_length_c 5.2916
_cell_angle_alpha 138.33
_cell_angle_beta 138.33
_cell_angle_gamma 60.40
_space_group_name_H-M_alt 'P 1'
_space_group_IT_number 1
loop_
_space_group_symop_operation_xyz
'x,y,z'
loop_
_atom_site_label
_atom_site_type_symbol
_atom_site_fract_x
_atom_site_fract_y
_atom_site_fract_z
Ag1 Ag 0.0000 0.0000 0.0000
Ag2 Ag 0.5000 0.5000 0.0000
Tc1 Tc 0.2500 0.7500 0.5000
W1 W 0.7500 0.2500 0.5000
```